No. 1
# AcLa4Nd2Tm | Alexandria | PBE | optimized geometry
data_AcLa4Nd2Tm
_chemical_formula_sum 'Ac2 La8 Nd4 Tm2'
_space_group_name_H-M_alt 'C 1 2/m 1'
_space_group_IT_number 12
_cell_length_a 11.746
_cell_length_b 5.269
_cell_length_c 10.593
_cell_angle_alpha 90.00
_cell_angle_beta 116.73
_cell_angle_gamma 90.00
loop_
_space_group_symop_operation_xyz
'x,y,z'
'-x,-y,-z'
'-x,y,-z'
'x,-y,z'
'x+1/2,y+1/2,z'
'-x+1/2,-y+1/2,-z'
'-x+1/2,y+1/2,-z'
'x+1/2,-y+1/2,z'
loop_
_atom_site_label
_atom_site_fract_x
_atom_site_fract_y
_atom_site_fract_z
Ac1 0.000 0.000 0.000
La1 0.246 0.000 0.869
La2 0.248 0.500 0.621
Nd1 0.002 0.500 0.744
Tm1 0.000 0.000 0.500
# Energy of formation from the pure elements ... 27 meV per atom
# Total magnetic moment ... 0.0 μB/cell
# Crystal system ... monoclinic
# Electronic total energy ... -4.701 eV/atom

=====

No. 2
# AcLa5Nd2Tm | Alexandria | PBE | optimized geometry
data_AcLa5Nd2Tm
_chemical_formula_sum 'Ac4 La20 Nd8 Tm4'
_space_group_name_H-M_alt 'I 4/m c m'
_space_group_IT_number 140
_space_group_name_Hall '-I 4 2c'
_cell_length_a 9.264
_cell_length_b 9.264
_cell_length_c 15.569
_cell_angle_alpha 90.00
_cell_angle_beta 90.00
_cell_angle_gamma 90.00
loop_
_atom_site_label
_atom_site_fract_x
_atom_site_fract_y
_atom_site_fract_z
Ac1 0.000 0.000 0.250
La1 0.000 0.000 0.000
La2 0.204 0.296 0.134
Nd1 0.115 0.385 0.500
Tm1 0.000 0.500 0.250
# Energy of formation from the pure elements ... 249 meV per atom
# Total magnetic moment ... 0.0 μB/cell
# Crystal system ... tetragonal
# Electronic total energy ... -4.502 eV/atom

=====

No. 3
# Ac2LaNd4Tm | Alexandria | PBE | optimized geometry
data_Ac2LaNd4Tm
_chemical_formula_sum 'Ac2 La1 Nd4 Tm1'
_space_group_name_H-M_alt 'P 1 2/m 1'
_space_group_IT_number 10
_cell_length_a 6.486
_cell_length_b 3.769
_cell_length_c 12.376
_cell_angle_alpha 90.00
_cell_angle_beta 100.46
_cell_angle_gamma 90.00
loop_
_space_group_symop_operation_xyz
'x,y,z'
'-x,-y,-z'
'-x,y,-z'
'x,-y,z'
loop_
_atom_site_label
_atom_site_fract_x
_atom_site_fract_y
_atom_site_fract_z
Ac1 0.000 0.000 0.000
Ac2 0.500 0.500 0.000
La1 0.000 0.500 0.500
Nd1 0.248 0.000 0.744
Nd2 0.256 0.500 0.259
Tm1 0.500 0.000 0.500
# Energy of formation from the pure elements ... 42 meV per atom
# Total magnetic moment ... 0.0 μB/cell
# Crystal system ... monoclinic
# Electronic total energy ... -4.544 eV/atom

=====

No. 4
# Ac5La2NdTm | Alexandria | PBE | optimized geometry
data_Ac5La2NdTm
_chemical_formula_sum 'Ac20 La8 Nd4 Tm4'
_space_group_name_H-M_alt 'I 4/m c m'
_space_group_IT_number 140
_space_group_name_Hall '-I 4 2c'
_cell_length_a 8.497
_cell_length_b 8.497
_cell_length_c 20.638
_cell_angle_alpha 90.00
_cell_angle_beta 90.00
_cell_angle_gamma 90.00
loop_
_atom_site_label
_atom_site_fract_x
_atom_site_fract_y
_atom_site_fract_z
Ac1 0.000 0.000 0.000
Ac2 0.230 0.270 0.140
La1 0.121 0.379 0.500
Nd1 0.000 0.000 0.250
Tm1 0.000 0.500 0.250
# Energy of formation from the pure elements ... 264 meV per atom
# Total magnetic moment ... 0.0 μB/cell
# Crystal system ... tetragonal
# Electronic total energy ... -4.140 eV/atom

=====

No. 5
# AcLa2NdTm | Alexandria | PBE | optimized geometry
data_AcLa2NdTm
_chemical_formula_sum 'Ac4 La8 Nd4 Tm4'
_space_group_name_H-M_alt 'C m c m'
_space_group_IT_number 63
_space_group_name_Hall '-C 2c 2'
_cell_length_a 8.168
_cell_length_b 12.265
_cell_length_c 7.652
_cell_angle_alpha 90.00
_cell_angle_beta 90.00
_cell_angle_gamma 90.00
loop_
_atom_site_label
_atom_site_fract_x
_atom_site_fract_y
_atom_site_fract_z
Ac1 0.000 0.242 0.250
La1 0.204 0.500 0.000
Nd1 0.000 0.062 0.750
Tm1 0.000 0.308 0.750
# Energy of formation from the pure elements ... 322 meV per atom
# Total magnetic moment ... 0.0 μB/cell
# Crystal system ... orthorhombic
# Electronic total energy ... -4.318 eV/atom

=====

No. 6
# AcLa6NdTm2 | Alexandria | PBE | optimized geometry
data_AcLa6NdTm2
_chemical_formula_sum 'Ac4 La24 Nd4 Tm8'
_space_group_name_H-M_alt 'C 1 2/c 1'
_space_group_IT_number 15
_cell_length_a 9.506
_cell_length_b 15.500
_cell_length_c 10.014
_cell_angle_alpha 90.00
_cell_angle_beta 97.62
_cell_angle_gamma 90.00
loop_
_space_group_symop_operation_xyz
'x,y,z'
'-x,-y,-z'
'-x,y,-z+1/2'
'x,-y,z+1/2'
'x+1/2,y+1/2,z'
'-x+1/2,-y+1/2,-z'
'-x+1/2,y+1/2,-z+1/2'
'x+1/2,-y+1/2,z+1/2'
loop_
_atom_site_label
_atom_site_fract_x
_atom_site_fract_y
_atom_site_fract_z
Ac1 0.000 0.030 0.250
La1 0.071 0.177 0.947
La2 0.096 0.393 0.122
La3 0.220 0.228 0.317
Nd1 0.000 0.408 0.750
Tm1 0.249 0.450 0.452
# Energy of formation from the pure elements ... 103 meV per atom
# Total magnetic moment ... 0.0 μB/cell
# Crystal system ... monoclinic
# Electronic total energy ... -4.635 eV/atom

=====

No. 7
# AcLa4NdTm2 | Alexandria | PBE | optimized geometry
data_AcLa4NdTm2
_chemical_formula_sum 'Ac2 La8 Nd2 Tm4'
_space_group_name_H-M_alt 'C 1 2/m 1'
_space_group_IT_number 12
_cell_length_a 11.679
_cell_length_b 5.245
_cell_length_c 10.524
_cell_angle_alpha 90.00
_cell_angle_beta 116.91
_cell_angle_gamma 90.00
loop_
_space_group_symop_operation_xyz
'x,y,z'
'-x,-y,-z'
'-x,y,-z'
'x,-y,z'
'x+1/2,y+1/2,z'
'-x+1/2,-y+1/2,-z'
'-x+1/2,y+1/2,-z'
'x+1/2,-y+1/2,z'
loop_
_atom_site_label
_atom_site_fract_x
_atom_site_fract_y
_atom_site_fract_z
Ac1 0.000 0.000 0.000
La1 0.247 0.000 0.871
La2 0.249 0.500 0.623
Nd1 0.000 0.000 0.500
Tm1 0.001 0.500 0.746
# Energy of formation from the pure elements ... 31 meV per atom
# Total magnetic moment ... 0.0 μB/cell
# Crystal system ... monoclinic
# Electronic total energy ... -4.660 eV/atom

=====

No. 8
# AcLa6NdY2 | Alexandria | PBE | optimized geometry
data_AcLa6NdY2
_chemical_formula_sum 'Ac4 La24 Nd4 Y8'
_space_group_name_H-M_alt 'C 1 2/c 1'
_space_group_IT_number 15
_cell_length_a 10.011
_cell_length_b 15.492
_cell_length_c 9.441
_cell_angle_alpha 90.00
_cell_angle_beta 92.36
_cell_angle_gamma 90.00
loop_
_space_group_symop_operation_xyz
'x,y,z'
'-x,-y,-z'
'-x,y,-z+1/2'
'x,-y,z+1/2'
'x+1/2,y+1/2,z'
'-x+1/2,-y+1/2,-z'
'-x+1/2,y+1/2,-z+1/2'
'x+1/2,-y+1/2,z+1/2'
loop_
_atom_site_label
_atom_site_fract_x
_atom_site_fract_y
_atom_site_fract_z
Ac1 0.000 0.064 0.250
La1 0.077 0.361 0.102
La2 0.078 0.153 0.915
La3 0.246 0.222 0.323
Nd1 0.000 0.420 0.750
Y1 0.245 0.452 0.434
# Energy of formation from the pure elements ... 107 meV per atom
# Total magnetic moment ... 0.0 μB/cell
# Crystal system ... monoclinic
# Electronic total energy ... -5.030 eV/atom

=====

No. 9
# AcLaNd2Y5 | Alexandria | PBE | optimized geometry
data_AcLaNd2Y5
_chemical_formula_sum 'Ac4 La4 Nd8 Y20'
_space_group_name_H-M_alt 'I 4/m c m'
_space_group_IT_number 140
_space_group_name_Hall '-I 4 2c'
_cell_length_a 8.906
_cell_length_b 8.906
_cell_length_c 15.962
_cell_angle_alpha 90.00
_cell_angle_beta 90.00
_cell_angle_gamma 90.00
loop_
_atom_site_label
_atom_site_fract_x
_atom_site_fract_y
_atom_site_fract_z
Ac1 0.000 0.500 0.250
La1 0.000 0.000 0.250
Nd1 0.115 0.385 0.000
Y1 0.000 0.000 0.000
Y2 0.211 0.289 0.369
# Energy of formation from the pure elements ... 240 meV per atom
# Total magnetic moment ... 0.0 μB/cell
# Crystal system ... tetragonal
# Electronic total energy ... -5.415 eV/atom

=====

No. 10
# AcLa2NdY5 | Alexandria | PBE | optimized geometry
data_AcLa2NdY5
_chemical_formula_sum 'Ac4 La8 Nd4 Y20'
_space_group_name_H-M_alt 'I 4/m c m'
_space_group_IT_number 140
_space_group_name_Hall '-I 4 2c'
_cell_length_a 8.845
_cell_length_b 8.845
_cell_length_c 16.087
_cell_angle_alpha 90.00
_cell_angle_beta 90.00
_cell_angle_gamma 90.00
loop_
_atom_site_label
_atom_site_fract_x
_atom_site_fract_y
_atom_site_fract_z
Ac1 0.000 0.000 0.250
La1 0.117 0.383 0.000
Nd1 0.000 0.500 0.250
Y1 0.000 0.000 0.000
Y2 0.210 0.290 0.365
# Energy of formation from the pure elements ... 223 meV per atom
# Total magnetic moment ... 0.0 μB/cell
# Crystal system ... tetragonal
# Electronic total energy ... -5.449 eV/atom

=====

No. 11
# AcLaNd6Y2 | Alexandria | PBE | optimized geometry
data_AcLaNd6Y2
_chemical_formula_sum 'Ac4 La4 Nd24 Y8'
_space_group_name_H-M_alt 'C 1 2/c 1'
_space_group_IT_number 15
_cell_length_a 9.614
_cell_length_b 15.434
_cell_length_c 9.838
_cell_angle_alpha 90.00
_cell_angle_beta 95.60
_cell_angle_gamma 90.00
loop_
_space_group_symop_operation_xyz
'x,y,z'
'-x,-y,-z'
'-x,y,-z+1/2'
'x,-y,z+1/2'
'x+1/2,y+1/2,z'
'-x+1/2,-y+1/2,-z'
'-x+1/2,y+1/2,-z+1/2'
'x+1/2,-y+1/2,z+1/2'
loop_
_atom_site_label
_atom_site_fract_x
_atom_site_fract_y
_atom_site_fract_z
Ac1 0.000 0.040 0.250
La1 0.000 0.407 0.750
Nd1 0.069 0.175 0.941
Nd2 0.091 0.386 0.118
Nd3 0.221 0.230 0.324
Y1 0.248 0.450 0.448
# Energy of formation from the pure elements ... 116 meV per atom
# Total magnetic moment ... 0.0 μB/cell
# Crystal system ... monoclinic
# Electronic total energy ... -4.941 eV/atom

=====

No. 12
# Ac2LaNdY2 | Alexandria | PBE | optimized geometry
data_Ac2LaNdY2
_chemical_formula_sum 'Ac4 La2 Nd2 Y4'
_space_group_name_H-M_alt 'P m c 21'
_space_group_IT_number 26
_cell_length_a 5.343
_cell_length_b 11.294
_cell_length_c 7.484
_cell_angle_alpha 90.00
_cell_angle_beta 90.00
_cell_angle_gamma 90.00
loop_
_space_group_symop_operation_xyz
'x,y,z'
'-x,-y,z+1/2'
'-x,y,z'
'x,-y,z+1/2'
loop_
_atom_site_label
_atom_site_fract_x
_atom_site_fract_y
_atom_site_fract_z
Ac1 0.000 0.002 0.000
Ac2 0.500 0.175 0.254
La1 0.000 0.340 0.506
Nd1 0.500 0.496 0.759
Y1 0.000 0.337 0.004
Y2 0.500 0.176 0.752
# Energy of formation from the pure elements ... 40 meV per atom
# Total magnetic moment ... 0.0 μB/cell
# Crystal system ... orthorhombic
# Electronic total energy ... -5.100 eV/atom

=====

No. 13
# AcLaNdY3 | Alexandria | PBE | optimized geometry
data_AcLaNdY3
_chemical_formula_sum 'Ac2 La2 Nd2 Y6'
_space_group_name_H-M_alt 'P 1 21/m 1'
_space_group_IT_number 11
_cell_length_a 11.048
_cell_length_b 3.703
_cell_length_c 11.056
_cell_angle_alpha 90.00
_cell_angle_beta 109.72
_cell_angle_gamma 90.00
loop_
_space_group_symop_operation_xyz
'x,y,z'
'-x,-y,-z'
'-x,y+1/2,-z'
'x,-y+1/2,z'
loop_
_atom_site_label
_atom_site_fract_x
_atom_site_fract_y
_atom_site_fract_z
Ac1 0.211 0.250 0.370
La1 0.128 0.750 0.629
Nd1 0.378 0.250 0.878
Y1 0.043 0.250 0.882
Y2 0.293 0.750 0.118
Y3 0.462 0.750 0.629
# Energy of formation from the pure elements ... 32 meV per atom
# Total magnetic moment ... 0.0 μB/cell
# Crystal system ... monoclinic
# Electronic total energy ... -5.500 eV/atom

=====

No. 14
# AcLa2NdY2 | Alexandria | PBE | optimized geometry
data_AcLa2NdY2
_chemical_formula_sum 'Ac2 La4 Nd2 Y4'
_space_group_name_H-M_alt 'P n n m'
_space_group_IT_number 58
_cell_length_a 6.637
_cell_length_b 19.094
_cell_length_c 3.553
_cell_angle_alpha 90.00
_cell_angle_beta 90.00
_cell_angle_gamma 90.00
loop_
_space_group_symop_operation_xyz
'x,y,z'
'-x,-y,-z'
'-x,-y,z'
'x,y,-z'
'x+1/2,-y+1/2,-z+1/2'
'-x+1/2,y+1/2,z+1/2'
'-x+1/2,y+1/2,-z+1/2'
'x+1/2,-y+1/2,z+1/2'
loop_
_atom_site_label
_atom_site_fract_x
_atom_site_fract_y
_atom_site_fract_z
Ac1 0.000 0.000 0.000
La1 0.188 0.194 0.000
Nd1 0.000 0.500 0.000
Y1 0.185 0.355 0.500
# Energy of formation from the pure elements ... 269 meV per atom
# Total magnetic moment ... 0.0 μB/cell
# Crystal system ... orthorhombic
# Electronic total energy ... -5.007 eV/atom

=====

No. 15
# Ac2La5NdY | Alexandria | PBE | optimized geometry
data_Ac2La5NdY
_chemical_formula_sum 'Ac8 La20 Nd4 Y4'
_space_group_name_H-M_alt 'C m c 21'
_space_group_IT_number 36
_cell_length_a 5.700
_cell_length_b 22.817
_cell_length_c 10.656
_cell_angle_alpha 90.00
_cell_angle_beta 90.00
_cell_angle_gamma 90.00
loop_
_space_group_symop_operation_xyz
'x,y,z'
'-x,-y,z+1/2'
'-x,y,z'
'x,-y,z+1/2'
'x+1/2,y+1/2,z'
'-x+1/2,-y+1/2,z+1/2'
'-x+1/2,y+1/2,z'
'x+1/2,-y+1/2,z+1/2'
loop_
_atom_site_label
_atom_site_fract_x
_atom_site_fract_y
_atom_site_fract_z
Ac1 0.000 0.115 0.000
Ac2 0.000 0.115 0.475
La1 0.000 0.004 0.737
La2 0.000 0.277 0.047
La3 0.000 0.277 0.427
La4 0.000 0.378 0.738
La5 0.000 0.500 0.488
Nd1 0.000 0.216 0.737
Y1 0.000 0.397 0.237
# Energy of formation from the pure elements ... 100 meV per atom
# Total magnetic moment ... 0.0 μB/cell
# Crystal system ... orthorhombic
# Electronic total energy ... -4.799 eV/atom

=====

No. 16
# Ac3LaNd2Y6 | Alexandria | PBE | optimized geometry
data_Ac3LaNd2Y6
_chemical_formula_sum 'Ac6 La2 Nd4 Y12'
_space_group_name_H-M_alt 'C 1 2/m 1'
_space_group_IT_number 12
_cell_length_a 6.475
_cell_length_b 11.214
_cell_length_c 12.038
_cell_angle_alpha 90.00
_cell_angle_beta 100.32
_cell_angle_gamma 90.00
loop_
_space_group_symop_operation_xyz
'x,y,z'
'-x,-y,-z'
'-x,y,-z'
'x,-y,z'
'x+1/2,y+1/2,z'
'-x+1/2,-y+1/2,-z'
'-x+1/2,y+1/2,-z'
'x+1/2,-y+1/2,z'
loop_
_atom_site_label
_atom_site_fract_x
_atom_site_fract_y
_atom_site_fract_z
Ac1 0.000 0.000 0.000
Ac2 0.000 0.333 0.000
La1 0.000 0.500 0.500
Nd1 0.000 0.167 0.500
Y1 0.247 0.000 0.745
Y2 0.249 0.333 0.745
# Energy of formation from the pure elements ... 31 meV per atom
# Total magnetic moment ... 0.0 μB/cell
# Crystal system ... monoclinic
# Electronic total energy ... -5.434 eV/atom

=====

No. 17
# AcLa3Nd2Y6 | Alexandria | PBE | optimized geometry
data_AcLa3Nd2Y6
_chemical_formula_sum 'Ac2 La6 Nd4 Y12'
_space_group_name_H-M_alt 'C 1 2/m 1'
_space_group_IT_number 12
_cell_length_a 6.377
_cell_length_b 11.044
_cell_length_c 11.989
_cell_angle_alpha 90.00
_cell_angle_beta 100.20
_cell_angle_gamma 90.00
loop_
_space_group_symop_operation_xyz
'x,y,z'
'-x,-y,-z'
'-x,y,-z'
'x,-y,z'
'x+1/2,y+1/2,z'
'-x+1/2,-y+1/2,-z'
'-x+1/2,y+1/2,-z'
'x+1/2,-y+1/2,z'
loop_
_atom_site_label
_atom_site_fract_x
_atom_site_fract_y
_atom_site_fract_z
Ac1 0.000 0.000 0.000
La1 0.000 0.167 0.500
La2 0.000 0.500 0.500
Nd1 0.000 0.333 0.000
Y1 0.248 0.332 0.749
Y2 0.248 0.500 0.251
# Energy of formation from the pure elements ... 13 meV per atom
# Total magnetic moment ... 0.0 μB/cell
# Crystal system ... monoclinic
# Electronic total energy ... -5.588 eV/atom

=====

No. 18
# AcLa5Nd2Y | Alexandria | PBE | optimized geometry
data_AcLa5Nd2Y
_chemical_formula_sum 'Ac4 La20 Nd8 Y4'
_space_group_name_H-M_alt 'I 4/m c m'
_space_group_IT_number 140
_space_group_name_Hall '-I 4 2c'
_cell_length_a 9.256
_cell_length_b 9.256
_cell_length_c 15.675
_cell_angle_alpha 90.00
_cell_angle_beta 90.00
_cell_angle_gamma 90.00
loop_
_atom_site_label
_atom_site_fract_x
_atom_site_fract_y
_atom_site_fract_z
Ac1 0.000 0.000 0.250
La1 0.000 0.000 0.000
La2 0.204 0.296 0.133
Nd1 0.115 0.385 0.500
Y1 0.000 0.500 0.250
# Energy of formation from the pure elements ... 241 meV per atom
# Total magnetic moment ... 0.0 μB/cell
# Crystal system ... tetragonal
# Electronic total energy ... -4.731 eV/atom